# 1
Below is an optimized crystal structure of Fe2AsSe, with properties calculated at the PBE level.

```
4
Lattice="3.306 0.000 0.000 0.000 4.582 0.000 -1.639 0.000 4.101" Properties=species:S:1:pos:R:3 pbc="T T T"
Fe 0.000 0.000 0.000
Fe 0.009 2.291 3.338
As -0.005 2.291 0.856
Se 0.014 0.000 2.506
```

Output
* volume: 62.13 Å³/f.u.
* symmetry: Pm, No. 6
* energy relative to the elements, uncorrected: 0.034 eV per atom

---

# 2
Below is an optimized crystal structure of FeAs2Se, with properties calculated at the PBE level.

```
4
Lattice="3.200 0.000 0.000 0.000 4.485 0.000 0.000 0.000 4.878" Properties=species:S:1:pos:R:3 pbc="T T T"
Fe 0.000 0.000 0.000
As 0.000 2.242 2.439
As 1.600 0.000 2.439
Se 1.600 2.242 0.000
```

Output
* volume: 70.00 Å³/f.u.
* symmetry: Pmmm, No. 47
* energy relative to the elements, uncorrected: 0.482 eV per atom

---

Look up the volume of the second one. 70.00 Å³/f.u.

---

Which of these has the highest energy relative to the elements, uncorrected? FeAs2Se

---

Number 2 is which compound? FeAs2Se